Below is crystalline Mn2In2Re at its relaxed geometry, with properties calculated at the GGA-PBE level.

Cell: 6.1721 6.1721 4.2987 Å, 90.00 90.00 90.00°
Last column: nearest neighbours and their distance in Å.
Element x y z (fractional)
Mn  0.3757  0.8757  0.0000  1 Mn 2.17
In  0.3188  0.1812  0.5000  6 Mn 2.74-2.88
Re  0.0000  0.0000  0.0000  4 Mn 2.44
Mn  0.1243  0.3757  0.0000  1 Mn 2.17
Mn  0.8757  0.6243  0.0000  1 Mn 2.17
Re  0.5000  0.5000  0.0000  4 Mn 2.44
In  0.1812  0.6812  0.5000  6 Mn 2.74-2.88
In  0.8188  0.3188  0.5000  6 Mn 2.74-2.88
In  0.6812  0.8188  0.5000  6 Mn 2.74-2.88
Mn  0.6243  0.1243  0.0000  1 Mn 2.17

Values from the calculation:
**Energy relative to the lowest polymorph listed for this composition**: 0 meV/atom
**DOS(E_F)**: 0.68 states/eV/atom


Below is crystalline LiTl2Cr2 at its relaxed geometry, with properties calculated at the GGA-PBE level.

Cell: 5.2438 5.2438 5.2615 Å, 60.11 60.11 90.00°
Last column: nearest neighbours and their distance in Å.
Element x y z (fractional)
Cr  0.6194  0.6194  0.7612  1 Cr 1.78
Cr  0.3806  0.3806  0.2388  1 Cr 1.78
Li  0.0000  0.0000  0.0000  2 Cr 2.84
Tl  0.7500  0.2500  0.5000  4 Cr 2.80
Tl  0.2500  0.7500  0.5000  4 Cr 2.80

Values from the calculation:
**Energy relative to the lowest polymorph listed for this composition**: 111 meV/atom
**DOS(E_F)**: 0.95 states/eV/atom


Below is crystalline FeCuHg2 at its relaxed geometry, with properties calculated at the GGA-PBE level.

Cell: 4.6193 4.6193 4.6193 Å, 60.00 60.00 60.00°
Last column: nearest neighbours and their distance in Å.
Element x y z (fractional)
Cu  0.5000  0.5000  0.5000  4 Fe 2.83, 4 Hg 2.83
Hg  0.0000  0.0000  0.0000  4 Hg 2.83, 4 Fe 2.83
Hg  0.2500  0.2500  0.2500  4 Hg 2.83, 4 Cu 2.83
Fe  0.7500  0.7500  0.7500  4 Hg 2.83, 4 Cu 2.83

Values from the calculation:
**Energy relative to the lowest polymorph listed for this composition**: 187 meV/atom
**DOS(E_F)**: 1.09 states/eV/atom


Below is crystalline BaAl2Ir at its relaxed geometry, with properties calculated at the GGA-PBE level.

Cell: 4.9697 4.9697 4.9697 Å, 119.94 119.94 90.11°
Last column: nearest neighbours and their distance in Å.
Element x y z (fractional)
Ir  0.7500  0.2500  0.5000  4 Ba 3.04, 4 Al 3.04
Ba  0.5000  0.5000  0.0000  4 Al 3.04, 4 Ir 3.04
Al  0.2500  0.7500  0.5000  4 Ba 3.04, 4 Al 3.04
Al  0.0000  0.0000  0.0000  4 Al 3.04, 4 Ir 3.04

Values from the calculation:
**DOS(E_F)**: 0.57 states/eV/atom
**Total energy**: -4.28 eV/atom


Below is crystalline SrLiAl2 at its relaxed geometry, with properties calculated at the GGA-PBE level.

Cell: 4.5331 4.5331 6.3500 Å, 69.11 69.11 59.99°
Last column: nearest neighbours and their distance in Å.
Element x y z (fractional)
Al  0.9448  0.9448  0.1655  3 Li 2.66, 3 Al 2.79
Sr  0.7500  0.7500  0.7500  8 Al 3.38-3.55
Al  0.5552  0.5552  0.3345  3 Li 2.66, 3 Al 2.79
Li  0.2500  0.2500  0.2500  6 Al 2.66

Values from the calculation:
**Energy relative to the lowest polymorph listed for this composition**: 33 meV/atom
**DOS(E_F)**: 0.64 states/eV/atom


Below is crystalline Pr4GeSeCl2 at its relaxed geometry, with properties calculated at the GGA-PBE level.

Cell: 4.3062 7.3028 7.4145 Å, 69.94 90.00 90.00°
Last column: nearest neighbours and their distance in Å.
Element x y z (fractional)
Pr  0.5000  0.2704  0.7511  1 Ge 2.89, 2 Se 2.96, 3 Cl 3.07-3.14
Cl  0.5000  0.0000  0.5000  6 Pr 3.12-3.14
Ge  0.5000  0.5000  0.0000  6 Pr 2.89-2.92
Pr  0.0000  0.2702  0.2364  2 Ge 2.92, 1 Se 2.98, 3 Cl 3.06-3.12
Se  0.0000  0.5000  0.5000  6 Pr 2.96-2.98
Cl  0.0000  0.0000  0.0000  6 Pr 3.06-3.07
Pr  0.0000  0.7298  0.7636  2 Ge 2.92, 1 Se 2.98, 3 Cl 3.06-3.12
Pr  0.5000  0.7296  0.2489  1 Ge 2.89, 2 Se 2.96, 3 Cl 3.07-3.14

Values from the calculation:
**Raw formation energy**: -1.453 eV per atom
**DOS(E_F)**: 0.47 states/eV/atom


Below is crystalline AcTlP2O8 at its relaxed geometry, with properties calculated at the GGA-PBE level.

Cell: 4.9594 4.9594 7.8662 Å, 71.62 71.62 60.00°
Last column: nearest neighbours and their distance in Å.
Element x y z (fractional)
O  0.0389  0.4403  0.8095  1 P 1.55
O  0.9611  0.5597  0.1905  1 P 1.55
Ac  0.5000  0.5000  0.5000  12 O 2.82-2.88
O  0.8214  0.8214  0.5357  1 P 1.55
O  0.4403  0.7113  0.8095  1 P 1.55
Tl  0.0000  0.0000  0.0000  6 O 2.29
P  0.7508  0.7508  0.7478  4 O 1.55
P  0.2492  0.2492  0.2522  4 O 1.55
O  0.2887  0.9611  0.1905  1 P 1.55
O  0.5597  0.2887  0.1905  1 P 1.55
O  0.7113  0.0389  0.8095  1 P 1.55
O  0.1786  0.1786  0.4643  1 P 1.55

Values from the calculation:
**Raw formation energy**: -2.281 eV per atom
**DOS(E_F)**: 0.00 states/eV/atom


Below is crystalline PrY8 at its relaxed geometry, with properties calculated at the GGA-PBE level.

Cell: 5.0657 8.0248 8.0248 Å, 84.28 71.60 71.60°
Last column: nearest neighbours and their distance in Å.
Element x y z (fractional)
Y  0.3339  0.6661  0.6661  11 Y 3.58-3.59, 1 Pr 3.60
Y  0.0000  0.6661  0.3339  11 Y 3.58-3.59, 1 Pr 3.60
Y  0.6661  0.3339  0.3339  11 Y 3.58-3.59, 1 Pr 3.60
Y  0.3329  0.0000  0.3343  10 Y 3.58-3.60, 2 Pr 3.59
Y  0.6671  0.0000  0.6657  10 Y 3.58-3.60, 2 Pr 3.59
Y  0.0000  0.3339  0.6661  11 Y 3.58-3.59, 1 Pr 3.60
Y  0.6671  0.6657  0.0000  10 Y 3.58-3.60, 2 Pr 3.59
Y  0.3329  0.3343  0.0000  10 Y 3.58-3.60, 2 Pr 3.59
Pr  0.0000  0.0000  0.0000  12 Y 3.59-3.60

Values from the calculation:
**DOS(E_F)**: 1.54 states/eV/atom
**Total energy**: -6.25 eV/atom


Below is crystalline CrNiB at its relaxed geometry, with properties calculated at the GGA-PBE level.

Cell: 3.0152 8.1360 4.5609 Å, 90.00 90.00 90.00°
Last column: nearest neighbours and their distance in Å.
Element x y z (fractional)
B  0.5000  0.3940  0.7500  4 Ni 2.08, 2 Cr 2.10
Cr  0.5000  0.2855  0.2500  2 B 2.10
B  0.5000  0.6060  0.2500  4 Ni 2.08, 2 Cr 2.10
Ni  0.0000  0.5000  0.0000  4 B 2.08, 2 Ni 2.28
Cr  0.5000  0.7145  0.7500  2 B 2.10
Ni  0.5000  0.0000  0.5000  4 B 2.08, 2 Ni 2.28
B  0.0000  0.8940  0.7500  4 Ni 2.08, 2 Cr 2.10
Cr  0.0000  0.2145  0.7500  2 B 2.10
Ni  0.0000  0.5000  0.5000  4 B 2.08, 2 Ni 2.28
Ni  0.5000  0.0000  0.0000  4 B 2.08, 2 Ni 2.28
Cr  0.0000  0.7855  0.2500  2 B 2.10
B  0.0000  0.1060  0.2500  4 Ni 2.08, 2 Cr 2.10

Values from the calculation:
**DOS(E_F)**: 1.07 states/eV/atom
**Total energy**: -7.54 eV/atom


Below is crystalline Nd2CuCl at its relaxed geometry, with properties calculated at the GGA-PBE level.

Cell: 3.4345 3.4345 8.1230 Å, 90.00 90.00 90.00°
Last column: nearest neighbours and their distance in Å.
Element x y z (fractional)
Nd  0.0000  0.0000  0.7730  4 Cu 3.05, 4 Cl 3.29
Cu  0.5000  0.5000  0.0000  8 Nd 3.05
Nd  0.0000  0.0000  0.2270  4 Cu 3.05, 4 Cl 3.29
Cl  0.5000  0.5000  0.5000  8 Nd 3.29, 4 Cl 3.43

Values from the calculation:
**Energy relative to the lowest polymorph listed for this composition**: 102 meV/atom
**Raw formation energy**: -0.667 eV per atom
**DOS(E_F)**: 0.93 states/eV/atom


Below is crystalline CsScCuI5 at its relaxed geometry, with properties calculated at the GGA-PBE level.

Cell: 8.2938 8.2938 11.0107 Å, 103.66 103.66 105.06°
Last column: nearest neighbours and their distance in Å.
Element x y z (fractional)
I  0.6266  0.7856  0.9303  1 Cu 2.70, 1 Sc 2.95
Sc  0.0000  0.0000  0.5000  6 I 2.89-2.95
I  0.3734  0.2144  0.0697  1 Cu 2.70, 1 Sc 2.95
I  0.2144  0.3734  0.5697  1 Cu 2.70, 1 Sc 2.95
Cs  0.6473  0.3527  0.7500  7 I 3.74-4.14
I  0.7856  0.6266  0.4303  1 Cu 2.70, 1 Sc 2.95
Cs  0.3527  0.6473  0.2500  7 I 3.74-4.14
I  0.0679  0.9321  0.2500  2 Sc 2.89
I  0.9321  0.0679  0.7500  2 Sc 2.89
Sc  0.0000  0.0000  0.0000  6 I 2.89-2.95
I  0.6965  0.0986  0.3953  1 Cu 2.62, 1 Sc 2.91
I  0.9014  0.3035  0.1047  1 Cu 2.62, 1 Sc 2.91
I  0.0986  0.6965  0.8953  1 Cu 2.62, 1 Sc 2.91
Cu  0.6926  0.3074  0.2500  4 I 2.62-2.70
I  0.3035  0.9014  0.6047  1 Cu 2.62, 1 Sc 2.91
Cu  0.3074  0.6926  0.7500  4 I 2.62-2.70

Values from the calculation:
**Raw formation energy**: -1.007 eV per atom


Below is crystalline Re2HgIrRh at its relaxed geometry, with properties calculated at the GGA-PBE level.

Cell: 4.6552 4.8577 4.6552 Å, 90.00 90.00 90.00°
Last column: nearest neighbours and their distance in Å.
Element x y z (fractional)
Re  0.0000  0.0000  0.5000  2 Rh 2.33
Rh  0.0000  0.0000  0.0000  4 Re 2.33, 2 Ir 2.43
Ir  0.0000  0.5000  0.0000  2 Rh 2.43
Hg  0.5000  0.5000  0.5000  4 Ir 3.29, 8 Re 3.36
Re  0.5000  0.0000  0.0000  2 Rh 2.33

Values from the calculation:
**DOS(E_F)**: 1.87 states/eV/atom
**Total energy**: -6.12 eV/atom